--- w ---
This record from Alexandria describes a relaxed SnPt3F crystal. The functional is PBE.

```
data_SnPt3F
_symmetry_space_group_name_H-M 'P 1'
_symmetry_Int_Tables_number 1
_symmetry_space_group_name_Hall 'P 1'
_cell_length_a 4.993
_cell_length_b 4.993
_cell_length_c 4.993
_cell_angle_alpha 90.00
_cell_angle_beta 90.00
_cell_angle_gamma 90.00
loop_
_atom_site_label
_atom_site_fract_x
_atom_site_fract_y
_atom_site_fract_z
_atom_site_occupancy
Pt1 0.000 0.500 0.000 1
Pt2 0.000 0.000 0.500 1
Pt3 0.500 0.000 0.000 1
Sn1 0.000 0.000 0.000 1
F1 0.500 0.500 0.500 1
```

--- x ---
This record from Alexandria describes a relaxed SnPt3F crystal. The functional is PBE.

```
data_SnPt3F
_symmetry_space_group_name_H-M 'P 1'
_symmetry_Int_Tables_number 1
_symmetry_space_group_name_Hall 'P 1'
_cell_length_a 4.463
_cell_length_b 4.463
_cell_length_c 4.463
_cell_angle_alpha 90.00
_cell_angle_beta 90.00
_cell_angle_gamma 90.00
loop_
_atom_site_label
_atom_site_fract_x
_atom_site_fract_y
_atom_site_fract_z
_atom_site_occupancy
F1 0.000 0.000 0.000 1
Pt1 0.000 0.000 0.500 1
Pt2 0.000 0.500 0.000 1
Pt3 0.500 0.000 0.000 1
Sn1 0.500 0.500 0.500 1
```

Of the structures shown above, w is the least stable.